La6Co2Cl3F | Alexandria via LeMat-Bulk | GGA+U | optimized geometry; E = -5.045 eV/atom; symmetry = C2/m (12)
1.0
9.678 -1.942 0.000
9.678 1.942 0.000
-3.212 0.000 8.081
La Co Cl F
6 2 3 1
Cartesian
-0.673 0.000 1.771
4.833 0.000 3.699
3.828 0.000 7.280
12.316 0.000 0.800
11.310 0.000 4.382
16.817 0.000 6.310
2.007 0.000 2.527
14.136 0.000 5.553
0.750 0.000 6.707
8.072 0.000 4.040
15.393 0.000 1.374
9.678 0.000 0.000